No. 1
Below is crystalline Tl3Se2O6 at its relaxed geometry, with properties calculated at the PBE level.

Geometry as extended XYZ:
```
22
Lattice="5.731 0.000 0.000 0.000 8.152 0.000 0.000 0.000 10.880" Properties=species:S:1:pos:R:3 pbc="T T T"
Tl 2.865 4.076 5.440
O 1.578 1.964 0.000
O 4.594 5.675 6.791
O 4.594 5.675 4.089
O 1.729 6.554 1.351
Tl 0.000 0.000 0.000
Tl 0.000 4.076 2.300
O 4.002 1.598 1.351
O 4.002 1.598 9.529
Tl 2.865 0.000 7.740
O 4.153 6.188 0.000
O 1.136 2.478 4.089
Se 5.355 6.448 5.440
O 1.729 6.554 9.529
Se 0.376 1.704 5.440
O 1.136 2.478 6.791
Tl 0.000 4.076 8.580
O 1.287 6.040 5.440
O 4.444 2.112 5.440
Tl 2.865 0.000 3.140
Se 3.242 2.372 0.000
Se 2.489 5.780 0.000
```

Properties
**Formation energy without anion corrections**: -0.76 eV/atom
**DFT total energy**: -104.29 eV/cell

---

No. 2
Below is crystalline TlSe2O2 at its relaxed geometry, with properties calculated at the PBE level.

Geometry as extended XYZ:
```
5
Lattice="-4.111 0.219 1.672 -0.513 -4.359 -0.691 -0.727 -2.891 4.494" Properties=species:S:1:pos:R:3 pbc="T T T"
Se -1.889 -2.289 1.559
O -3.575 -2.371 3.329
Tl 0.000 0.000 0.000
Se -3.461 -4.742 3.917
O -1.776 -4.660 2.147
```

Properties
**Polymorph energy (0 for the lowest one)**: 0.468 eV per atom
**Formation energy without anion corrections**: 0.29 eV/atom
**DFT total energy**: -17.81 eV/cell

---

No. 3
Below is crystalline Tl3SeO at its relaxed geometry, with properties calculated at the PBE level.

Geometry as extended XYZ:
```
5
Lattice="-1.965 -3.029 4.981 -2.227 -4.467 -3.596 5.387 -2.952 0.330" Properties=species:S:1:pos:R:3 pbc="T T T"
Tl 2.694 -1.476 0.165
Tl -1.114 -2.234 -1.798
Se 0.000 0.000 0.000
Tl -0.983 -1.515 2.490
O 0.597 -5.224 0.858
```

Properties
**Polymorph energy (0 for the lowest one)**: 0.788 eV per atom
**Formation energy without anion corrections**: 0.42 eV/atom
**DFT total energy**: -13.45 eV/cell

---

No. 4
Below is crystalline Tl2Se2O5 at its relaxed geometry, with properties calculated at the PBE level.

Geometry as extended XYZ:
```
9
Lattice="7.030 0.539 -0.034 -3.145 5.629 -1.471 -0.288 -1.600 5.809" Properties=species:S:1:pos:R:3 pbc="T T T"
Se 4.186 2.840 3.842
O -0.420 1.461 1.764
O 3.995 3.962 -0.415
O 2.764 2.733 2.896
Se -0.505 1.409 0.089
Tl 1.526 0.356 3.068
O -2.598 4.134 4.013
Tl 1.871 4.304 0.992
O 0.428 2.701 -0.500
```

Properties
**Polymorph energy (0 for the lowest one)**: 0.000 eV per atom
**Formation energy without anion corrections**: -0.82 eV/atom
**DFT total energy**: -43.88 eV/cell

---

No. 5
Below is crystalline TmTl2Se2O6 at its relaxed geometry, with properties calculated at the PBE level.

Geometry as extended XYZ:
```
11
Lattice="-0.012 5.269 2.597 -4.639 -3.137 -0.300 3.559 -2.917 5.936" Properties=species:S:1:pos:R:3 pbc="T T T"
O -2.075 -4.003 4.492
O -0.202 0.728 5.167
O 0.982 3.218 3.740
O 0.989 0.347 2.325
Se -0.961 0.050 6.539
Tm 1.773 1.176 4.266
O -0.890 -1.513 3.066
Tl 0.650 -2.888 5.865
Se -0.131 -0.835 1.693
Tl -1.742 2.104 2.368
O -2.081 -1.132 5.907
```

Properties
**Formation energy without anion corrections**: -1.34 eV/atom
**DFT total energy**: -60.65 eV/cell

---

No. 6
Below is crystalline TmTl2SeO6 at its relaxed geometry, with properties calculated at the PBE level.

Geometry as extended XYZ:
```
10
Lattice="-2.480 4.666 2.074 -1.698 -3.094 4.930 5.337 2.875 -0.085" Properties=species:S:1:pos:R:3 pbc="T T T"
O -1.200 -1.341 4.634
O 2.359 5.788 2.284
O 1.374 3.994 5.142
Tl 2.780 1.285 1.764
Tl -1.620 3.161 5.154
O -0.215 0.452 1.776
O -0.735 4.121 2.333
Tm -1.240 2.333 1.037
Se 0.000 0.000 0.000
O 1.895 0.325 4.585
```

Properties
**Formation energy without anion corrections**: -1.20 eV/atom
**DFT total energy**: -54.43 eV/cell

---

Short version: theoretical density = 5.665, 7.566, 5.050, 4.811, 6.775, 6.917 g cm⁻³, in the order given.